Density functional theory data (PBE) for an optimized crystal structure of Ac2SmPaAs4.

Results
Energy of formation (meV per atom): -1362.2
Magnetic moment (μB/f.u.): 0.0

Cell lengths 7.4610, 4.3248, 7.5713 Å; angles 90.00, 109.23, 90.00 degrees
With the nearest neighbours (Å) after each atom.
Space group P2/m (No. 10)
One atom of each set of equivalent atoms:
Ac (0.0000, 0.0000, 0.0000) x1  6 As 3.21-3.22
Ac (0.5000, 0.5000, 0.0000) x1  6 As 3.15
Sm (0.0000, 0.5000, 0.5000) x1  6 As 2.99-3.00
Pa (0.5000, 0.0000, 0.5000) x1  6 As 2.91-2.93
As (0.2506, 0.0000, 0.7254) x2  1 Pa 2.91, 2 Sm 3.00, 3 Ac 3.15-3.22
As (0.2660, 0.5000, 0.2786) x2  2 Pa 2.93, 1 Sm 2.99, 3 Ac 3.15-3.21

Density functional theory data (PBE) for an optimized crystal structure of Ac4AsPb2.

Results
Energy of formation (meV per atom): -721.3
Magnetic moment (μB/f.u.): 0.0
Relative energy among the computed polymorphs (meV/atom): 0.0

Cell lengths 12.9040, 4.9406, 9.5581 Å; angles 90.00, 121.21, 90.00 degrees
With the nearest neighbours (Å) after each atom.
Space group C2/m (No. 12)
One atom of each set of equivalent atoms:
Ac (0.0850, 0.0000, 0.3685) x4  1 As 3.10
Ac (0.1742, 0.5000, 0.0788) x4  2 As 3.16, 2 Pb 3.46
As (0.0000, 0.0000, 0.0000) x2  6 Ac 3.10-3.16
Pb (0.1339, 0.5000, 0.6638) x4  1 Pb 3.25, 4 Ac 3.46-3.55

Density functional theory data (PBE) for an optimized crystal structure of Ac7As5Pb.

Results
Energy of formation (meV per atom): -1240.9
Magnetic moment (μB/f.u.): 0.9

Cell lengths 14.9564, 4.5686, 27.0750 Å; angles 90.00, 90.02, 90.00 degrees
With the nearest neighbours (Å) after each atom.
Space group C2/m (No. 12)
One atom of each set of equivalent atoms:
Ac (0.0325, 0.0000, 0.2500) x4  2 As 3.13, 2 Pb 3.41
Ac (0.0894, 0.5000, 0.3950) x4  5 As 3.14-3.21
Ac (0.0896, 0.5000, 0.1051) x4  5 As 3.15-3.21
Ac (0.1367, 0.0000, 0.5346) x4  6 As 3.20-3.23
Ac (0.1366, 0.0000, 0.9653) x4  6 As 3.20-3.23
Ac (0.1793, 0.5000, 0.6736) x4  3 As 3.07-3.15
Ac (0.1790, 0.5000, 0.8264) x4  3 As 3.07-3.15
As (0.0000, 0.5000, 0.0000) x2  6 Ac 3.15-3.20
As (0.0000, 0.5000, 0.5000) x2  6 Ac 3.14-3.21
As (0.0454, 0.0000, 0.6427) x4  6 Ac 3.13-3.23
As (0.0451, 0.0000, 0.8573) x4  6 Ac 3.13-3.23
As (0.2271, 0.0000, 0.0726) x4  6 Ac 3.07-3.23
As (0.2269, 0.0000, 0.4273) x4  6 Ac 3.07-3.23
Pb (0.2020, 0.5000, 0.2499) x4  6 Ac 3.41-3.56

Density functional theory data (PBE) for an optimized crystal structure of Ac4AsPb2.

Results
Energy of formation (meV per atom): -517.5
Magnetic moment (μB/f.u.): 0.0
Relative energy among the computed polymorphs (meV/atom): 203.7

Cell lengths 5.8196, 5.8196, 17.6254 Å; angles 90.00, 90.00, 90.00 degrees
With the nearest neighbours (Å) after each atom.
Space group I4/mmm (No. 139)
One atom of each set of equivalent atoms:
Ac (0.0000, 0.0000, 0.1776) x4  1 As 3.13, 1 Pb 3.39
Ac (0.0000, 0.5000, 0.0000) x4  2 As 2.91
As (0.0000, 0.0000, 0.0000) x2  6 Ac 2.91-3.13
Pb (0.0000, 0.0000, 0.3697) x4  5 Ac 3.39-3.71

Density functional theory data (PBE) for an optimized crystal structure of AcAs4Pb.

Results
Energy of formation (meV per atom): -238.8
Magnetic moment (μB/f.u.): 0.0

Cell lengths 8.3277, 8.3277, 8.3277 Å; angles 90.00, 90.00, 90.00 degrees
With the nearest neighbours (Å) after each atom.
Space group F-43m (No. 216)
One atom of each set of equivalent atoms:
Ac (0.0000, 0.0000, 0.0000) x4  12 As 3.46, 4 Pb 3.61
As (0.1213, 0.1213, 0.6213) x16  6 As 2.86-3.03
Pb (0.2500, 0.2500, 0.2500) x4  12 As 3.44, 4 Ac 3.61

Density functional theory data (PBE) for an optimized crystal structure of Ac4As2Pb.

Results
Energy of formation (meV per atom): -991.7
Magnetic moment (μB/f.u.): 0.9

Cell lengths 4.6428, 14.6286, 15.4313 Å; angles 90.00, 90.00, 90.00 degrees
With the nearest neighbours (Å) after each atom.
Space group Cmcm (No. 63)
One atom of each set of equivalent atoms:
Ac (0.0000, 0.0000, 0.0000) x4  4 As 3.20
Ac (0.0000, 0.2708, 0.1191) x8  3 As 3.09-3.18
Ac (0.0000, 0.4411, 0.7500) x4  2 As 3.14, 2 Pb 3.39
As (0.0000, 0.3639, 0.5604) x8  6 Ac 3.09-3.20
Pb (0.0000, 0.1098, 0.7500) x4  6 Ac 3.39-3.54